Record 1
The following is a PBE calculation of a geometry-optimized Cd5Ag3Hg12 structure, from Alexandria via LeMat-Bulk.

Volume, Å³/cell: 2437.51
Space group: Ia-3d (230)
E, eV/atom: -0.7016
Magnetic moment, μB per cell: 0.00

Unit cell a=14.6844 b=14.6844 c=14.6844 alpha=109.47 beta=109.47 gamma=109.47
Fractional coordinates of all 80 atoms:
1 Cd 0.0000 0.0000 0.0000
2 Cd 0.0000 0.0000 0.5000
3 Cd 0.0000 0.5000 0.0000
4 Cd 0.0000 0.5000 0.5000
5 Cd 0.1250 0.7500 0.8750
6 Cd 0.1250 0.8750 0.2500
7 Cd 0.2500 0.1250 0.8750
8 Cd 0.2500 0.6250 0.3750
9 Cd 0.3750 0.2500 0.6250
10 Cd 0.3750 0.6250 0.7500
11 Cd 0.5000 0.0000 0.0000
12 Cd 0.5000 0.0000 0.5000
13 Cd 0.5000 0.5000 0.0000
14 Cd 0.5000 0.5000 0.5000
15 Cd 0.6250 0.3750 0.2500
16 Cd 0.6250 0.7500 0.3750
17 Cd 0.7500 0.3750 0.6250
18 Cd 0.7500 0.8750 0.1250
19 Cd 0.8750 0.1250 0.7500
20 Cd 0.8750 0.2500 0.1250
21 Ag 0.1250 0.2500 0.3750
22 Ag 0.1250 0.3750 0.7500
23 Ag 0.2500 0.3750 0.1250
24 Ag 0.2500 0.8750 0.6250
25 Ag 0.3750 0.1250 0.2500
26 Ag 0.3750 0.7500 0.1250
27 Ag 0.6250 0.2500 0.8750
28 Ag 0.6250 0.8750 0.7500
29 Ag 0.7500 0.1250 0.3750
30 Ag 0.7500 0.6250 0.8750
31 Ag 0.8750 0.6250 0.2500
32 Ag 0.8750 0.7500 0.6250
33 Hg 0.0690 0.2356 0.1391
34 Hg 0.0690 0.3334 0.9298
35 Hg 0.0702 0.6391 0.4035
36 Hg 0.0702 0.9310 0.6666
37 Hg 0.0965 0.7356 0.6666
38 Hg 0.0965 0.8609 0.4298
39 Hg 0.1391 0.0690 0.2356
40 Hg 0.1391 0.5702 0.9035
41 Hg 0.1666 0.2356 0.5965
42 Hg 0.1666 0.4310 0.5702
43 Hg 0.2356 0.1391 0.0690
44 Hg 0.2356 0.5965 0.1666
45 Hg 0.2644 0.3334 0.9035
46 Hg 0.2644 0.4310 0.3609
47 Hg 0.3334 0.9035 0.2644
48 Hg 0.3334 0.9298 0.0690
49 Hg 0.3609 0.2644 0.4310
50 Hg 0.3609 0.5965 0.9298
51 Hg 0.4035 0.0702 0.6391
52 Hg 0.4035 0.8334 0.7644
53 Hg 0.4298 0.0965 0.8609
54 Hg 0.4298 0.8334 0.5690
55 Hg 0.4310 0.3609 0.2644
56 Hg 0.4310 0.5702 0.1666
57 Hg 0.5690 0.4298 0.8334
58 Hg 0.5690 0.6391 0.7356
59 Hg 0.5702 0.1666 0.4310
60 Hg 0.5702 0.9035 0.1391
61 Hg 0.5965 0.1666 0.2356
62 Hg 0.5965 0.9298 0.3609
63 Hg 0.6391 0.4035 0.0702
64 Hg 0.6391 0.7356 0.5690
65 Hg 0.6666 0.0702 0.9310
66 Hg 0.6666 0.0965 0.7356
67 Hg 0.7356 0.5690 0.6391
68 Hg 0.7356 0.6666 0.0965
69 Hg 0.7644 0.4035 0.8334
70 Hg 0.7644 0.8609 0.9310
71 Hg 0.8334 0.5690 0.4298
72 Hg 0.8334 0.7644 0.4035
73 Hg 0.8609 0.4298 0.0965
74 Hg 0.8609 0.9310 0.7644
75 Hg 0.9035 0.1391 0.5702
76 Hg 0.9035 0.2644 0.3334
77 Hg 0.9298 0.0690 0.3334
78 Hg 0.9298 0.3609 0.5965
79 Hg 0.9310 0.6666 0.0702
80 Hg 0.9310 0.7644 0.8609


Record 2
The following is a PBE calculation of a geometry-optimized Cd3AgHg structure, from Alexandria via LeMat-Bulk.

Volume, Å³/cell: 230.68
Space group: P-1 (2)
Magnetic moment, μB per cell: 0.00
E above lowest polymorph, meV per atom: 0

Unit cell a=5.0545 b=5.0563 c=9.6523 alpha=95.56 beta=95.20 gamma=108.66
Fractional coordinates of all 10 atoms:
1 Cd 0.1606 0.1583 0.1361
2 Cd 0.2507 0.2491 0.5001
3 Cd 0.3383 0.3426 0.8641
4 Cd 0.6617 0.6574 0.1359
5 Cd 0.7493 0.7509 0.4999
6 Cd 0.8394 0.8417 0.8639
7 Ag 0.2044 0.7036 0.3150
8 Ag 0.7956 0.2964 0.6850
9 Hg 0.2965 0.7967 0.6876
10 Hg 0.7035 0.2033 0.3124


Record 3
The following is a PBE calculation of a geometry-optimized CdAg4Hg structure, from Alexandria via LeMat-Bulk.

Volume, Å³/cell: 114.29
Space group: C2/m (12)
Magnetic moment, μB per cell: 0.00
E above lowest polymorph, meV per atom: 0

Unit cell a=5.2833 b=5.2833 c=5.0777 alpha=98.06 beta=98.06 gamma=122.54
Fractional coordinates of all 6 atoms:
1 Cd 0.0000 0.0000 0.0000
2 Ag 0.1684 0.8316 0.5000
3 Ag 0.3297 0.6703 0.0000
4 Ag 0.6703 0.3297 0.0000
5 Ag 0.8316 0.1684 0.5000
6 Hg 0.5000 0.5000 0.5000


Record 4
The following is a PBE calculation of a geometry-optimized Cd2AgHg4 structure, from Alexandria via LeMat-Bulk.

Volume, Å³/cell: 178.68
Space group: R-3m (166)
Magnetic moment, μB per cell: 0.00
E above lowest polymorph, meV per atom: 0

Unit cell a=13.9969 b=13.9969 c=13.9969 alpha=15.87 beta=15.87 gamma=15.87
Fractional coordinates of all 7 atoms:
1 Cd 0.0925 0.0925 0.0925
2 Cd 0.9075 0.9075 0.9075
3 Ag 0.0000 0.0000 0.0000
4 Hg 0.1918 0.1918 0.1918
5 Hg 0.3776 0.3776 0.3776
6 Hg 0.6224 0.6224 0.6224
7 Hg 0.8082 0.8082 0.8082


Which of these has the highest volume?
Cd5Ag3Hg12